Entry 1:
Density functional theory data (PBE) for a relaxed Tb2PmPb3 crystal.

Unit cell a=17.102 b=6.474 c=6.451 alpha=90.00 beta=100.74 gamma=90.00
Space group C2/c (No. 15)
Asymmetric unit:
Tb (0.166, 0.125, 0.081) x8
Pm (0.000, 0.375, 0.250) x4
Pb (0.000, 0.124, 0.750) x4
Pb (0.169, 0.375, 0.585) x8

Output
Theoretical density (kg/m³): 10263
E (eV/atom): -4.704
Distance to the lowest polymorph of the same formula (meV per atom): 0
Calculated volume (Å³ per atom): 29.24

Entry 2:
Density functional theory data (PBE) for a relaxed TbPm5Pb3 crystal.

Unit cell a=9.6883 b=9.6883 c=6.7617 alpha=90.00 beta=90.00 gamma=120.00
Space group P6_3/mcm (No. 193)
Asymmetric unit:
Tb (0.0000, 0.0000, 0.0000) x2
Pm (0.0000, 0.3315, 0.2500) x6
Pm (0.3333, 0.6667, 0.0000) x4
Pb (0.0000, 0.3338, 0.7500) x6

Output
Theoretical density (kg/m³): 9096
E (eV/atom): -4.804
Calculated volume (Å³ per atom): 30.54

Entry 3:
Density functional theory data (PBE) for a relaxed TbPm5Pb6 crystal.

Unit cell a=5.967 b=14.671 c=8.717 alpha=90.00 beta=102.17 gamma=90.00
Space group C2/m (No. 12)
Asymmetric unit:
Tb (0.000, 0.000, 0.000) x2
Pm (0.000, 0.000, 0.500) x2
Pm (0.000, 0.331, 0.500) x4
Pm (0.000, 0.336, 0.000) x4
Pb (0.002, 0.165, 0.246) x8
Pb (0.013, 0.500, 0.748) x4

Output
Theoretical density (kg/m³): 9469
E (eV/atom): -4.706
Distance to the lowest polymorph of the same formula (meV per atom): 9
Calculated volume (Å³ per atom): 31.08

Question: Which value of calculated volume does entry 1 give?
Answer: 29.24 Å³ per atom